# YP2ClO, relaxed, DFT PBE
data_YP2ClO
_chemical_formula_sum 'Y1 P2 Cl1 O1'
_cell_length_a 5.516
_cell_length_b 5.235
_cell_length_c 5.516
_cell_angle_alpha 90.00
_cell_angle_beta 90.00
_cell_angle_gamma 90.00
_symmetry_space_group_name_H-M 'P 1'
_symmetry_Int_Tables_number 1
_symmetry_space_group_name_Hall 'P 1'
loop_
_atom_site_label
_atom_site_type_symbol
_atom_site_fract_x
_atom_site_fract_y
_atom_site_fract_z
_atom_site_occupancy
P1 P 0.500 0.000 0.000 1
P2 P 0.000 0.000 0.500 1
Y1 Y 0.000 0.000 0.000 1
O1 O 0.500 0.500 0.500 1
Cl1 Cl 0.000 0.500 0.000 1
# **Total moment**: 0.54 μB/f.u.
# **Fermi-level density of states**: 3.68 states/eV/cell
# **Theoretical density**: 2.1 g/cm3
# **Energy above the lowest structure with this stoichiometry**: 5.82 eV/f.u.
# **Space-group type**: P4/mmm (123)
# **Crystal system**: tetragonal
# **E_form (uncorrected)**: 541 meV per atom